Li2ScAgH PBE optimized geometry; mass density = 3.8 g/cm³; space group = No. 123; calculated total energy = -0.128 hartree per atom; density of states at the Fermi level = 0.605 states/eV/atom
1.0
4.089 0.000 0.000
0.000 4.089 0.000
0.000 0.000 4.397
Li Sc Ag H
2 1 1 1
direct
0.000 0.500 0.000
0.500 0.000 0.000
0.000 0.000 0.500
0.500 0.500 0.500
0.000 0.000 0.000